VASP calculation (GGA+U) on an optimized crystal structure of VSeO2.

a = 9.483 Å, b = 9.483 Å, c = 9.483 Å
α = 17.61°, β = 17.61°, γ = 17.61°
Positions (direct):
Se 0.000 0.000 0.000
O 0.870 0.870 0.870
O 0.130 0.130 0.130
V 0.500 0.500 0.500

Output
DFT total energy: -6.36 eV per atom
SG: R-3m (166)